Entry 1:
This record from Alexandria via LeMat-Bulk describes a relaxed structure of TmScMnIr. The functional is PBE-GGA.

Cell and atoms, written as extended XYZ:
```
4
Lattice="-4.632 -0.903 -0.056 -1.541 -4.451 0.305 -2.162 -1.485 3.924" Properties=species:S:1:pos:R:3 pbc="T T T"
Sc 0.000 0.000 0.000
Tm -4.168 -3.419 2.086
Mn -2.084 -1.710 1.043
Ir -6.252 -5.129 3.130
```

Calculated volume, Å³/cell: 74
Mass density, Mg/m³: 10.30
Total moment, μB per atom: 0.727
Energy relative to the elements, eV/atom: -0.410

***

Entry 2:
This record from Alexandria via LeMat-Bulk describes a relaxed structure of LiY3Pd4. The functional is PBE-GGA.

Cell and atoms, written as extended XYZ:
```
16
Lattice="4.866 0.000 0.000 0.000 6.843 0.000 0.000 0.000 9.731" Properties=species:S:1:pos:R:3 pbc="T T T"
Pd 2.433 5.102 0.000
Pd 0.008 5.101 7.299
Pd 2.433 5.102 4.866
Pd 2.433 1.741 0.000
Pd 2.433 1.741 4.866
Pd 4.858 1.742 2.433
Pd 0.008 1.742 7.299
Pd 4.858 5.101 2.433
Y 2.424 3.422 2.433
Y 2.437 0.000 7.299
Y 2.442 3.422 7.299
Y 0.000 0.000 0.000
Y 2.429 0.000 2.433
Y 0.000 0.000 4.866
Li 0.000 3.422 0.000
Li 0.000 3.422 4.866
```

Calculated volume, Å³/cell: 324
Mass density, Mg/m³: 7.17
Total moment, μB per atom: 0.000
Energy relative to the elements, eV/atom: -0.766

***

Entry 3:
This record from Alexandria via LeMat-Bulk describes a relaxed structure of HoNiSn. The functional is PBE-GGA.

Cell and atoms, written as extended XYZ:
```
18
Lattice="3.735 0.000 0.000 0.000 7.429 0.000 0.000 0.000 13.159" Properties=species:S:1:pos:R:3 pbc="T T T"
Ho 0.000 6.305 9.869
Ho 0.000 1.661 7.202
Ho 0.000 5.768 0.623
Ho 0.000 1.124 3.290
Ho 0.000 5.768 5.957
Ho 0.000 1.661 12.536
Sn 1.868 3.158 1.637
Sn 1.868 3.158 4.942
Sn 1.868 6.068 3.290
Sn 1.868 1.361 9.869
Sn 1.868 4.271 11.522
Sn 1.868 4.271 8.216
Ni 0.000 3.264 9.869
Ni 1.868 0.458 1.196
Ni 1.868 6.971 7.775
Ni 0.000 4.166 3.290
Ni 1.868 0.458 5.383
Ni 1.868 6.971 11.963
```

Calculated volume, Å³/cell: 365
Mass density, Mg/m³: 9.34
Total moment, μB per atom: 0.000
Energy relative to the elements, eV/atom: -0.622

***

The lowest mass density belongs to which entry? LiY3Pd4